Material: ZnC3S
Method: DFT, PBEsol
State: relaxed

Summary:
Space group   Pm-3m
E_form (uncorrected)   2.412 eV/atom

Cell lengths 3.5965, 3.5965, 3.5965 Å; angles 90.00, 90.00, 90.00 degrees
Last column: nearest neighbours and their distance in Å.
Positions (direct):
Zn  0.0000  0.0000  0.0000  12 C 2.54
C  0.0000  0.5000  0.5000  2 S 1.80
C  0.5000  0.0000  0.5000  2 S 1.80
C  0.5000  0.5000  0.0000  2 S 1.80
S  0.5000  0.5000  0.5000  6 C 1.80

Material: Zr2CS
Method: DFT, PBEsol
State: relaxed

Summary:
Space group   P6_3/mmc
E_form (uncorrected)   -1.480 eV/atom

Cell lengths 3.3878, 3.3878, 12.1112 Å; angles 90.00, 90.00, 120.00 degrees
Last column: nearest neighbours and their distance in Å.
Positions (direct):
Zr  0.3333  0.6667  0.1012  3 C 2.31
Zr  0.3333  0.6667  0.3988  3 C 2.31
Zr  0.6667  0.3333  0.6012  3 C 2.31
Zr  0.6667  0.3333  0.8988  3 C 2.31
C  0.0000  0.0000  0.0000  6 Zr 2.31
C  0.0000  0.0000  0.5000  6 Zr 2.31
S  0.3333  0.6667  0.7500  6 Zr 2.66
S  0.6667  0.3333  0.2500  6 Zr 2.66

Material: SbC
Method: DFT, PBEsol
State: relaxed

Summary:
Energy relative to the lowest polymorph listed for this composition   113.0 meV per atom
Space group   R-3m
E_form (uncorrected)   1.488 eV/atom

Cell lengths 7.1510, 7.1510, 7.1510 Å; angles 27.73, 27.73, 27.73 degrees
Last column: nearest neighbours and their distance in Å.
Positions (direct):
Sb  0.0963  0.0963  0.0963  3 C 2.15
Sb  0.9037  0.9037  0.9037  3 C 2.15
C  0.3895  0.3895  0.3895  3 Sb 2.15
C  0.6105  0.6105  0.6105  3 Sb 2.15

Material: Sb3C
Method: DFT, PBEsol
State: relaxed

Summary:
Space group   P6_3/mmc
E_form (uncorrected)   0.958 eV/atom

Cell lengths 8.1187, 8.1187, 3.2493 Å; angles 90.00, 90.00, 120.00 degrees
Last column: nearest neighbours and their distance in Å.
Positions (direct):
Sb  0.2037  0.4074  0.2500  2 C 2.44
Sb  0.2037  0.7963  0.2500  2 C 2.44
Sb  0.4074  0.2037  0.7500  2 C 2.44
Sb  0.5926  0.7963  0.2500  2 C 2.44
Sb  0.7963  0.2037  0.7500  2 C 2.44
Sb  0.7963  0.5926  0.7500  2 C 2.44
C  0.3333  0.6667  0.7500  6 Sb 2.44
C  0.6667  0.3333  0.2500  6 Sb 2.44